a) Density functional theory data (GGA-PBEsol) for a relaxed TcRh5 crystal.

abc: 2.693 4.294 7.126
angles: 90.00 100.90 90.00
Sites, in units of the cell vectors:
1 Rh 0.000 0.000 0.000
2 Rh 0.334 0.000 0.668
3 Rh 0.667 0.000 0.334
4 Rh 0.447 0.500 0.894
5 Rh 0.775 0.500 0.550
6 Tc 0.110 0.500 0.220


b) Density functional theory data (GGA-PBEsol) for a relaxed TcRh5 crystal.

abc: 4.301 4.669 4.669
angles: 120.00 90.00 90.00
Sites, in units of the cell vectors:
1 Rh 0.000 0.668 0.000
2 Rh 0.000 0.000 0.668
3 Rh 0.000 0.332 0.332
4 Rh 0.500 0.333 0.667
5 Rh 0.500 0.667 0.333
6 Tc 0.500 0.000 0.000


It is a) that is the least stable of them.


a) Density functional theory data (GGA-PBEsol) for a relaxed TcTe2Rh crystal.

abc: 3.303 3.303 6.514
angles: 90.00 90.00 90.00
Sites, in units of the cell vectors:
1 Rh 0.500 0.500 0.000
2 Tc 0.500 0.500 0.500
3 Te 0.000 0.000 0.749
4 Te 0.000 0.000 0.251


b) Density functional theory data (GGA-PBEsol) for a relaxed TcTe2Rh crystal.

abc: 3.899 3.899 5.479
angles: 110.84 110.84 90.00
Sites, in units of the cell vectors:
1 Rh 0.500 0.500 0.000
2 Tc 0.250 0.750 0.500
3 Te 0.000 0.000 0.000
4 Te 0.750 0.250 0.500


It is b) that is the least stable of them.


a) Density functional theory data (GGA-PBEsol) for a relaxed TcTe2Rh crystal.

abc: 4.657 4.660 4.657
angles: 60.02 90.00 119.98
Sites, in units of the cell vectors:
1 Rh 0.000 0.000 0.000
2 Tc 0.500 0.000 0.500
3 Te 0.250 0.500 0.250
4 Te 0.750 0.500 0.750


b) Density functional theory data (GGA-PBEsol) for a relaxed TcTe2Rh crystal.

abc: 3.249 3.249 8.966
angles: 79.56 79.56 60.00
Sites, in units of the cell vectors:
1 Te 0.906 0.906 0.283
2 Te 0.094 0.094 0.717
3 Rh 0.000 0.000 0.000
4 Tc 0.500 0.500 0.500


It is b) that is the least stable of them.


a) Density functional theory data (GGA-PBEsol) for a relaxed Tc2RhW crystal.

abc: 3.850 3.850 4.708
angles: 114.14 114.14 90.00
Sites, in units of the cell vectors:
1 Rh 0.250 0.750 0.500
2 Tc 0.000 0.000 0.000
3 Tc 0.750 0.250 0.500
4 W 0.500 0.500 0.000


b) Density functional theory data (GGA-PBEsol) for a relaxed Tc2RhW crystal.

abc: 4.341 4.341 4.341
angles: 60.00 60.00 60.00
Sites, in units of the cell vectors:
1 Rh 0.500 0.500 0.500
2 Tc 0.000 0.000 0.000
3 Tc 0.750 0.750 0.750
4 W 0.250 0.250 0.250


It is b) that is the least stable of them.


a) Density functional theory data (GGA-PBEsol) for a relaxed TcRh2W crystal.

abc: 3.797 3.797 3.882
angles: 90.00 90.00 90.00
Sites, in units of the cell vectors:
1 Rh 0.000 0.500 0.000
2 Rh 0.500 0.000 0.000
3 Tc 0.500 0.500 0.500
4 W 0.000 0.000 0.500


b) Density functional theory data (GGA-PBEsol) for a relaxed TcRh2W crystal.

abc: 2.702 4.353 4.754
angles: 90.00 90.00 90.00
Sites, in units of the cell vectors:
1 Rh 0.000 0.000 0.040
2 Rh 0.000 0.500 0.703
3 Tc 0.500 0.000 0.546
4 W 0.500 0.500 0.211


It is a) that is the least stable of them.


a) Density functional theory data (GGA-PBEsol) for a relaxed TcRh2W crystal.

abc: 2.689 2.689 7.756
angles: 90.00 90.00 90.00
Sites, in units of the cell vectors:
1 Rh 0.000 0.000 0.754
2 Rh 0.000 0.000 0.246
3 Tc 0.500 0.500 0.000
4 W 0.500 0.500 0.500


b) Density functional theory data (GGA-PBEsol) for a relaxed TcRh2W crystal.

abc: 2.692 4.719 4.719
angles: 110.68 90.00 90.00
Sites, in units of the cell vectors:
1 Rh 0.000 0.500 0.000
2 Rh 0.000 0.000 0.500
3 Tc 0.500 0.000 0.000
4 W 0.500 0.500 0.500


It is a) that is the least stable of them.


a) Density functional theory data (GGA-PBEsol) for a relaxed TcRh2W crystal.

abc: 2.691 3.876 5.378
angles: 90.00 90.00 90.00
Sites, in units of the cell vectors:
1 Rh 0.000 0.000 0.755
2 Rh 0.000 0.000 0.245
3 Tc 0.500 0.500 0.000
4 W 0.500 0.500 0.500


b) Density functional theory data (GGA-PBEsol) for a relaxed TcRh2W crystal.

abc: 3.798 3.798 4.721
angles: 113.72 113.72 90.00
Sites, in units of the cell vectors:
1 Rh 0.750 0.250 0.500
2 Rh 0.250 0.750 0.500
3 Tc 0.000 0.000 0.000
4 W 0.500 0.500 0.000


c) Density functional theory data (GGA-PBEsol) for a relaxed TcRh2W crystal.

abc: 3.211 3.211 5.552
angles: 90.00 90.00 90.00
Sites, in units of the cell vectors:
1 Rh 0.000 0.000 0.998
2 Rh 0.500 0.500 0.253
3 Tc 0.000 0.000 0.492
4 W 0.500 0.500 0.758


It is c) that is the least stable of them.


a) Density functional theory data (GGA-PBEsol) for a relaxed Zn2TcRh crystal.

abc: 2.758 4.377 4.542
angles: 90.00 90.00 90.00
Sites, in units of the cell vectors:
1 Rh 0.500 0.500 0.000
2 Tc 0.000 0.500 0.500
3 Zn 0.000 0.000 0.000
4 Zn 0.500 0.000 0.500


b) Density functional theory data (GGA-PBEsol) for a relaxed Zn2TcRh crystal.

abc: 2.895 2.895 6.360
angles: 90.00 90.00 90.00
Sites, in units of the cell vectors:
1 Rh 0.500 0.500 0.000
2 Tc 0.500 0.500 0.500
3 Zn 0.000 0.000 0.761
4 Zn 0.000 0.000 0.239


c) Density functional theory data (GGA-PBEsol) for a relaxed Zn2TcRh crystal.

abc: 2.650 4.249 4.869
angles: 90.00 96.54 90.00
Sites, in units of the cell vectors:
1 Rh 0.500 0.500 0.000
2 Tc 0.000 0.500 0.500
3 Zn 0.709 0.000 0.750
4 Zn 0.291 0.000 0.250


It is a) that is the least stable of them.


a) Density functional theory data (GGA-PBEsol) for a relaxed Tl2TeRh crystal.

abc: 3.409 3.409 9.477
angles: 79.64 79.64 60.00
Sites, in units of the cell vectors:
1 Rh 0.500 0.500 0.500
2 Te 0.000 0.000 0.000
3 Tl 0.235 0.235 0.295
4 Tl 0.765 0.765 0.705


b) Density functional theory data (GGA-PBEsol) for a relaxed Tl2TeRh crystal.

abc: 4.074 4.976 6.007
angles: 114.41 90.00 90.00
Sites, in units of the cell vectors:
1 Rh 0.500 0.000 0.500
2 Te 0.500 0.500 0.500
3 Tl 0.000 0.169 0.838
4 Tl 0.000 0.831 0.162


c) Density functional theory data (GGA-PBEsol) for a relaxed Tl2TeRh crystal.

abc: 3.841 3.841 8.088
angles: 76.26 76.26 60.00
Sites, in units of the cell vectors:
1 Rh 0.505 0.505 0.485
2 Te 0.227 0.227 0.319
3 Tl 0.002 0.002 0.994
4 Tl 0.766 0.766 0.703


It is a) that is the least stable of them.


a) Density functional theory data (GGA-PBEsol) for a relaxed Tl2Rh3 crystal.

abc: 4.491 4.491 5.420
angles: 65.53 65.53 60.00
Sites, in units of the cell vectors:
1 Rh 0.798 0.798 0.607
2 Rh 0.000 0.000 0.000
3 Rh 0.202 0.202 0.393
4 Tl 0.400 0.400 0.799
5 Tl 0.600 0.600 0.201


b) Density functional theory data (GGA-PBEsol) for a relaxed Tl2Rh3 crystal.

abc: 3.023 3.641 7.837
angles: 103.43 101.12 90.00
Sites, in units of the cell vectors:
1 Rh 0.299 0.799 0.599
2 Rh 0.701 0.201 0.401
3 Rh 0.500 0.000 0.000
4 Tl 0.105 0.605 0.211
5 Tl 0.895 0.395 0.789


It is a) that is the least stable of them.


a) Density functional theory data (GGA-PBEsol) for a relaxed Tl2RhW crystal.

abc: 3.049 3.049 9.163
angles: 80.42 80.42 60.00
Sites, in units of the cell vectors:
1 Rh 0.000 0.000 0.000
2 Tl 0.254 0.254 0.238
3 Tl 0.746 0.746 0.762
4 W 0.500 0.500 0.500


b) Density functional theory data (GGA-PBEsol) for a relaxed Tl2RhW crystal.

abc: 2.946 4.558 5.467
angles: 90.00 93.10 90.00
Sites, in units of the cell vectors:
1 Rh 0.000 0.500 0.500
2 Tl 0.789 0.000 0.746
3 Tl 0.211 0.000 0.254
4 W 0.500 0.500 0.000


It is b) that is the least stable of them.


a) Density functional theory data (GGA-PBEsol) for a relaxed TlZn2Rh crystal.

abc: 3.067 3.068 7.259
angles: 90.00 90.39 90.00
Sites, in units of the cell vectors:
1 Rh 0.500 0.500 0.000
2 Tl 0.500 0.500 0.500
3 Zn 0.997 0.000 0.812
4 Zn 0.003 0.000 0.188


b) Density functional theory data (GGA-PBEsol) for a relaxed TlZn2Rh crystal.

abc: 3.167 4.569 4.569
angles: 105.89 90.00 90.00
Sites, in units of the cell vectors:
1 Rh 0.500 0.000 0.000
2 Tl 0.500 0.500 0.500
3 Zn 0.000 0.500 0.000
4 Zn 0.000 0.000 0.500


c) Density functional theory data (GGA-PBEsol) for a relaxed TlZn2Rh crystal.

abc: 3.099 4.234 4.949
angles: 90.00 90.33 90.00
Sites, in units of the cell vectors:
1 Rh 0.627 0.000 0.504
2 Tl 0.128 0.500 0.707
3 Zn 0.122 0.000 0.083
4 Zn 0.624 0.500 0.206


It is b) that is the least stable of them.